# Mn2TeCl, optimized geometry, DFT PBE
data_Mn2TeCl
_chemical_formula_sum 'Mn8 Te4 Cl4'
_cell_length_a 6.215
_cell_length_b 6.215
_cell_length_c 6.215
_cell_angle_alpha 90.00
_cell_angle_beta 90.00
_cell_angle_gamma 90.00
_symmetry_space_group_name_H-M 'F m -3 m'
_symmetry_Int_Tables_number 225
_symmetry_space_group_name_Hall '-F 4 2 3'
loop_
_atom_site_label
_atom_site_type_symbol
_atom_site_fract_x
_atom_site_fract_y
_atom_site_fract_z
Mn1 Mn 0.250 0.250 0.250
Te1 Te 0.000 0.000 0.000
Cl1 Cl 0.000 0.000 0.500
# Spin magnetization = 0.00 μB/f.u.
# E_form (uncorrected) = 0.71 eV per atom
# ΔE to the lowest computed polymorph = 0.8669 eV per atom
# E_tot = -5.118 eV/atom

# Ac3Nd4Ho2, optimized geometry, DFT PBE
data_Ac3Nd4Ho2
_chemical_formula_sum 'Ac6 Nd8 Ho4'
_cell_length_a 17.515
_cell_length_b 6.051
_cell_length_c 6.705
_cell_angle_alpha 90.00
_cell_angle_beta 107.58
_cell_angle_gamma 90.00
_symmetry_space_group_name_H-M 'C 1 2/m 1'
_symmetry_Int_Tables_number 12
loop_
_symmetry_equiv_pos_as_xyz
'x,y,z'
'-x,-y,-z'
'-x,y,-z'
'x,-y,z'
'x+1/2,y+1/2,z'
'-x+1/2,-y+1/2,-z'
'-x+1/2,y+1/2,-z'
'x+1/2,-y+1/2,z'
loop_
_atom_site_label
_atom_site_type_symbol
_atom_site_fract_x
_atom_site_fract_y
_atom_site_fract_z
Ac1 Ac 0.000 0.000 0.000
Ac2 Ac 0.120 0.000 0.576
Nd1 Nd 0.038 0.500 0.770
Nd2 Nd 0.246 0.000 0.150
Ho1 Ho 0.164 0.500 0.281
# Spin magnetization = 0.00 μB/f.u.
# DFT formation energy = 0.103 eV per atom
# E_tot = -4.403 eV/atom

# Y2AlRe, optimized geometry, DFT PBE
data_Y2AlRe
_chemical_formula_sum 'Y4 Al2 Re2'
_cell_length_a 4.435
_cell_length_b 4.435
_cell_length_c 8.574
_cell_angle_alpha 90.00
_cell_angle_beta 90.00
_cell_angle_gamma 90.00
_symmetry_space_group_name_H-M 'I -4 m 2'
_symmetry_Int_Tables_number 119
_symmetry_space_group_name_Hall 'I -4 -2'
loop_
_atom_site_label
_atom_site_type_symbol
_atom_site_fract_x
_atom_site_fract_y
_atom_site_fract_z
Y1 Y 0.000 0.000 0.000
Y2 Y 0.000 0.500 0.250
Al1 Al 0.000 0.500 0.750
Re1 Re 0.000 0.000 0.500
# Spin magnetization = 0.00 μB/f.u.
# DFT formation energy = 0.111 eV per atom
# E_tot = -7.169 eV/atom

# YRe2As, optimized geometry, DFT PBE
data_YRe2As
_chemical_formula_sum 'Y1 Re2 As1'
_cell_length_a 3.269
_cell_length_b 4.802
_cell_length_c 4.722
_cell_angle_alpha 90.00
_cell_angle_beta 92.11
_cell_angle_gamma 90.00
_symmetry_space_group_name_H-M 'P 1 2/m 1'
_symmetry_Int_Tables_number 10
loop_
_symmetry_equiv_pos_as_xyz
'x,y,z'
'-x,-y,-z'
'-x,y,-z'
'x,-y,z'
loop_
_atom_site_label
_atom_site_type_symbol
_atom_site_fract_x
_atom_site_fract_y
_atom_site_fract_z
Y1 Y 0.000 0.000 0.000
Re1 Re 0.355 0.500 0.749
As1 As 0.500 0.000 0.500
# Spin magnetization = 0.00 μB/f.u.
# DFT formation energy = 0.226 eV per atom
# E_tot = -8.776 eV/atom

# Sm2Be2Ge3, optimized geometry, DFT PBE
data_Sm2Be2Ge3
_chemical_formula_sum 'Sm8 Be8 Ge12'
_cell_length_a 3.977
_cell_length_b 18.994
_cell_length_c 6.942
_cell_angle_alpha 90.00
_cell_angle_beta 90.00
_cell_angle_gamma 90.00
_symmetry_space_group_name_H-M 'C m c m'
_symmetry_Int_Tables_number 63
_symmetry_space_group_name_Hall '-C 2c 2'
loop_
_atom_site_label
_atom_site_type_symbol
_atom_site_fract_x
_atom_site_fract_y
_atom_site_fract_z
Sm1 Sm 0.000 0.045 0.250
Sm2 Sm 0.000 0.173 0.750
Be1 Be 0.000 0.337 0.599
Ge1 Ge 0.000 0.205 0.250
Ge2 Ge 0.000 0.435 0.072
# Spin magnetization = 0.00 μB/f.u.
# DFT formation energy = -0.480 eV per atom
# E_tot = -4.871 eV/atom

# Pr3Sm5Tm2, optimized geometry, DFT PBE
data_Pr3Sm5Tm2
_chemical_formula_sum 'Pr12 Sm20 Tm8'
_cell_length_a 10.905
_cell_length_b 15.473
_cell_length_c 9.777
_cell_angle_alpha 90.00
_cell_angle_beta 123.52
_cell_angle_gamma 90.00
_symmetry_space_group_name_H-M 'C 1 2/c 1'
_symmetry_Int_Tables_number 15
loop_
_symmetry_equiv_pos_as_xyz
'x,y,z'
'-x,-y,-z'
'-x,y,-z+1/2'
'x,-y,z+1/2'
'x+1/2,y+1/2,z'
'-x+1/2,-y+1/2,-z'
'-x+1/2,y+1/2,-z+1/2'
'x+1/2,-y+1/2,z+1/2'
loop_
_atom_site_label
_atom_site_type_symbol
_atom_site_fract_x
_atom_site_fract_y
_atom_site_fract_z
Pr1 Pr 0.000 0.230 0.250
Pr2 Pr 0.145 0.126 0.050
Sm1 Sm 0.000 0.023 0.250
Sm2 Sm 0.000 0.272 0.750
Sm3 Sm 0.000 0.471 0.750
Sm4 Sm 0.234 0.381 0.225
Tm1 Tm 0.155 0.380 0.549
# Spin magnetization = 0.00 μB/f.u.
# DFT formation energy = 0.182 eV per atom
# ΔE to the lowest computed polymorph = 0.0000 eV per atom
# E_tot = -4.506 eV/atom

# NiCl, optimized geometry, DFT PBE
data_NiCl
_chemical_formula_sum 'Ni4 Cl4'
_cell_length_a 6.200
_cell_length_b 3.585
_cell_length_c 7.100
_cell_angle_alpha 90.00
_cell_angle_beta 105.57
_cell_angle_gamma 90.00
_symmetry_space_group_name_H-M 'C 1 m 1'
_symmetry_Int_Tables_number 8
loop_
_symmetry_equiv_pos_as_xyz
'x,y,z'
'x,-y,z'
'x+1/2,y+1/2,z'
'x+1/2,-y+1/2,z'
loop_
_atom_site_label
_atom_site_type_symbol
_atom_site_fract_x
_atom_site_fract_y
_atom_site_fract_z
Ni1 Ni 0.000 0.000 0.000
Ni2 Ni 0.101 0.500 0.785
Cl1 Cl 0.207 0.500 0.133
Cl2 Cl 0.219 0.000 0.629
# Spin magnetization = 1.02 μB/f.u.
# E_form (uncorrected) = -0.17 eV per atom
# E_tot = -3.979 eV/atom

# Sc2Sb2H, optimized geometry, DFT PBE
data_Sc2Sb2H
_chemical_formula_sum 'Sc4 Sb4 H2'
_cell_length_a 7.907
_cell_length_b 7.907
_cell_length_c 3.722
_cell_angle_alpha 90.00
_cell_angle_beta 90.00
_cell_angle_gamma 90.00
_symmetry_space_group_name_H-M 'P 4/m b m'
_symmetry_Int_Tables_number 127
_symmetry_space_group_name_Hall '-P 4 2ab'
loop_
_atom_site_label
_atom_site_type_symbol
_atom_site_fract_x
_atom_site_fract_y
_atom_site_fract_z
Sc1 Sc 0.147 0.353 0.000
Sb1 Sb 0.156 0.656 0.500
H1 H 0.000 0.000 0.500
# Spin magnetization = 0.00 μB/f.u.
# ΔE to the lowest computed polymorph = 0.5279 eV per atom
# E_tot = -4.969 eV/atom

# Ni2Ir8W, optimized geometry, DFT PBE
data_Ni2Ir8W
_chemical_formula_sum 'Ni4 Ir16 W2'
_cell_length_a 7.005
_cell_length_b 11.509
_cell_length_c 4.376
_cell_angle_alpha 90.00
_cell_angle_beta 112.82
_cell_angle_gamma 90.00
_symmetry_space_group_name_H-M 'C 1 2/m 1'
_symmetry_Int_Tables_number 12
loop_
_symmetry_equiv_pos_as_xyz
'x,y,z'
'-x,-y,-z'
'-x,y,-z'
'x,-y,z'
'x+1/2,y+1/2,z'
'-x+1/2,-y+1/2,-z'
'-x+1/2,y+1/2,-z'
'x+1/2,-y+1/2,z'
loop_
_atom_site_label
_atom_site_type_symbol
_atom_site_fract_x
_atom_site_fract_y
_atom_site_fract_z
Ni1 Ni 0.000 0.187 0.000
Ir1 Ir 0.000 0.275 0.500
Ir2 Ir 0.095 0.000 0.307
Ir3 Ir 0.199 0.382 0.138
W1 W 0.000 0.500 0.500
# Spin magnetization = 0.00 μB/f.u.
# DFT formation energy = 0.236 eV per atom
# E_tot = -8.437 eV/atom

# SrCa2Ta, optimized geometry, DFT PBE
data_SrCa2Ta
_chemical_formula_sum 'Sr1 Ca2 Ta1'
_cell_length_a 3.414
_cell_length_b 5.493
_cell_length_c 7.158
_cell_angle_alpha 90.00
_cell_angle_beta 102.02
_cell_angle_gamma 90.00
_symmetry_space_group_name_H-M 'P 1 2/m 1'
_symmetry_Int_Tables_number 10
loop_
_symmetry_equiv_pos_as_xyz
'x,y,z'
'-x,-y,-z'
'-x,y,-z'
'x,-y,z'
loop_
_atom_site_label
_atom_site_type_symbol
_atom_site_fract_x
_atom_site_fract_y
_atom_site_fract_z
Sr1 Sr 0.000 0.000 0.000
Ca1 Ca 0.268 0.500 0.717
Ta1 Ta 0.500 0.000 0.500
# Spin magnetization = 2.57 μB/f.u.
# DFT formation energy = 0.754 eV per atom
# ΔE to the lowest computed polymorph = 0.1321 eV per atom
# E_tot = -3.630 eV/atom

# Ac3Al2In, optimized geometry, DFT PBE
data_Ac3Al2In
_chemical_formula_sum 'Ac12 Al8 In4'
_cell_length_a 9.831
_cell_length_b 9.896
_cell_length_c 9.917
_cell_angle_alpha 90.00
_cell_angle_beta 120.21
_cell_angle_gamma 90.00
_symmetry_space_group_name_H-M 'P 1 21/c 1'
_symmetry_Int_Tables_number 14
loop_
_symmetry_equiv_pos_as_xyz
'x,y,z'
'-x,-y,-z'
'-x,y+1/2,-z+1/2'
'x,-y+1/2,z+1/2'
loop_
_atom_site_label
_atom_site_type_symbol
_atom_site_fract_x
_atom_site_fract_y
_atom_site_fract_z
Ac1 Ac 0.219 0.194 0.360
Ac2 Ac 0.227 0.555 0.174
Ac3 Ac 0.227 0.555 0.553
Al1 Al 0.074 0.609 0.787
Al2 Al 0.453 0.250 0.227
In1 In 0.392 0.659 0.946
# Spin magnetization = 0.00 μB/f.u.
# DFT formation energy = -0.128 eV per atom
# E_tot = -3.886 eV/atom

# Tb5Pr3Sm4, optimized geometry, DFT PBE
data_Tb5Pr3Sm4
_chemical_formula_sum 'Tb5 Pr3 Sm4'
_cell_length_a 6.271
_cell_length_b 7.242
_cell_length_c 8.874
_cell_angle_alpha 90.00
_cell_angle_beta 90.11
_cell_angle_gamma 90.15
_symmetry_space_group_name_H-M 'P -1'
_symmetry_Int_Tables_number 2
loop_
_symmetry_equiv_pos_as_xyz
'x,y,z'
'-x,-y,-z'
loop_
_atom_site_label
_atom_site_type_symbol
_atom_site_fract_x
_atom_site_fract_y
_atom_site_fract_z
Tb1 Tb 0.000 0.000 0.000
Tb2 Tb 0.335 0.499 0.332
Tb3 Tb 0.499 0.750 0.000
Pr1 Pr 0.000 0.500 0.000
Pr2 Pr 0.167 0.250 0.667
Sm1 Sm 0.168 0.750 0.667
Sm2 Sm 0.333 0.000 0.331
# Spin magnetization = 0.00 μB/f.u.
# DFT formation energy = 0.014 eV per atom
# ΔE to the lowest computed polymorph = 0.0000 eV per atom
# E_tot = -4.683 eV/atom

# Y6TlAu2, optimized geometry, DFT PBE
data_Y6TlAu2
_chemical_formula_sum 'Y24 Tl4 Au8'
_cell_length_a 9.604
_cell_length_b 9.879
_cell_length_c 10.703
_cell_angle_alpha 90.00
_cell_angle_beta 90.00
_cell_angle_gamma 90.00
_symmetry_space_group_name_H-M 'I m m m'
_symmetry_Int_Tables_number 71
_symmetry_space_group_name_Hall '-I 2 2'
loop_
_atom_site_label
_atom_site_type_symbol
_atom_site_fract_x
_atom_site_fract_y
_atom_site_fract_z
Y1 Y 0.000 0.200 0.237
Y2 Y 0.202 0.500 0.173
Y3 Y 0.212 0.315 0.500
Tl1 Tl 0.000 0.000 0.000
Tl2 Tl 0.000 0.000 0.500
Au1 Au 0.000 0.344 0.000
Au2 Au 0.000 0.500 0.367
# Spin magnetization = 0.00 μB/f.u.
# DFT formation energy = -0.492 eV per atom
# E_tot = -5.793 eV/atom

# Ca2YRe, optimized geometry, DFT PBE
data_Ca2YRe
_chemical_formula_sum 'Ca4 Y2 Re2'
_cell_length_a 6.112
_cell_length_b 10.946
_cell_length_c 3.178
_cell_angle_alpha 90.00
_cell_angle_beta 107.72
_cell_angle_gamma 90.00
_symmetry_space_group_name_H-M 'C 1 2/m 1'
_symmetry_Int_Tables_number 12
loop_
_symmetry_equiv_pos_as_xyz
'x,y,z'
'-x,-y,-z'
'-x,y,-z'
'x,-y,z'
'x+1/2,y+1/2,z'
'-x+1/2,-y+1/2,-z'
'-x+1/2,y+1/2,-z'
'x+1/2,-y+1/2,z'
loop_
_atom_site_label
_atom_site_type_symbol
_atom_site_fract_x
_atom_site_fract_y
_atom_site_fract_z
Ca1 Ca 0.250 0.250 0.000
Y1 Y 0.000 0.000 0.500
Re1 Re 0.000 0.500 0.500
# Spin magnetization = 0.00 μB/f.u.
# DFT formation energy = 0.727 eV per atom
# ΔE to the lowest computed polymorph = 0.3409 eV per atom
# E_tot = -5.001 eV/atom

# SrTcN3, optimized geometry, DFT PBE
data_SrTcN3
_chemical_formula_sum 'Sr2 Tc2 N6'
_cell_length_a 3.824
_cell_length_b 6.306
_cell_length_c 7.561
_cell_angle_alpha 65.67
_cell_angle_beta 87.88
_cell_angle_gamma 74.56
_symmetry_space_group_name_H-M 'P 1'
_symmetry_Int_Tables_number 1
loop_
_symmetry_equiv_pos_as_xyz
'x,y,z'
loop_
_atom_site_label
_atom_site_type_symbol
_atom_site_fract_x
_atom_site_fract_y
_atom_site_fract_z
Sr1 Sr 0.000 0.000 0.000
Sr2 Sr 0.080 0.602 0.533
Tc1 Tc 0.358 0.128 0.365
Tc2 Tc 0.729 0.446 0.163
N1 N 0.260 0.376 0.060
N2 N 0.419 0.104 0.608
N3 N 0.468 0.142 0.750
N4 N 0.619 0.684 0.236
N5 N 0.892 0.068 0.317
N6 N 0.991 0.477 0.916
# Spin magnetization = 0.00 μB/f.u.
# E_form (uncorrected) = -0.25 eV per atom
# E_tot = -7.650 eV/atom

# Al4In2Br, optimized geometry, DFT PBE
data_Al4In2Br
_chemical_formula_sum 'Al8 In4 Br2'
_cell_length_a 5.132
_cell_length_b 5.132
_cell_length_c 14.662
_cell_angle_alpha 90.00
_cell_angle_beta 90.00
_cell_angle_gamma 90.00
_symmetry_space_group_name_H-M 'I 4/m m m'
_symmetry_Int_Tables_number 139
_symmetry_space_group_name_Hall '-I 4 2'
loop_
_atom_site_label
_atom_site_type_symbol
_atom_site_fract_x
_atom_site_fract_y
_atom_site_fract_z
Al1 Al 0.000 0.000 0.197
Al2 Al 0.000 0.500 0.000
In1 In 0.000 0.000 0.389
Br1 Br 0.000 0.000 0.000
# Spin magnetization = 0.00 μB/f.u.
# E_form (uncorrected) = 0.55 eV per atom
# E_tot = -2.609 eV/atom

# NaNbSi3, optimized geometry, DFT PBE
data_NaNbSi3
_chemical_formula_sum 'Na1 Nb1 Si3'
_cell_length_a 4.649
_cell_length_b 4.649
_cell_length_c 4.649
_cell_angle_alpha 90.00
_cell_angle_beta 90.00
_cell_angle_gamma 90.00
_symmetry_space_group_name_H-M 'P m -3 m'
_symmetry_Int_Tables_number 221
_symmetry_space_group_name_Hall '-P 4 2 3'
loop_
_atom_site_label
_atom_site_type_symbol
_atom_site_fract_x
_atom_site_fract_y
_atom_site_fract_z
Na1 Na 0.000 0.000 0.000
Nb1 Nb 0.500 0.500 0.500
Si1 Si 0.000 0.000 0.500
# Spin magnetization = 0.00 μB/f.u.
# E_form (uncorrected) = 1.75 eV per atom
# ΔE to the lowest computed polymorph = 1.4260 eV per atom
# E_tot = -3.782 eV/atom

# Pm3Bi, optimized geometry, DFT PBE
data_Pm3Bi
_chemical_formula_sum 'Pm3 Bi1'
_cell_length_a 4.971
_cell_length_b 4.971
_cell_length_c 4.971
_cell_angle_alpha 90.00
_cell_angle_beta 90.00
_cell_angle_gamma 90.00
_symmetry_space_group_name_H-M 'P m -3 m'
_symmetry_Int_Tables_number 221
_symmetry_space_group_name_Hall '-P 4 2 3'
loop_
_atom_site_label
_atom_site_type_symbol
_atom_site_fract_x
_atom_site_fract_y
_atom_site_fract_z
Pm1 Pm 0.000 0.000 0.500
Bi1 Bi 0.500 0.500 0.500
# Spin magnetization = 0.00 μB/f.u.
# DFT formation energy = -0.423 eV per atom
# ΔE to the lowest computed polymorph = 0.0000 eV per atom
# E_tot = -4.956 eV/atom

# La8CeNd6, optimized geometry, DFT PBE
data_La8CeNd6
_chemical_formula_sum 'La24 Ce3 Nd18'
_cell_length_a 10.0753
_cell_length_b 10.0753
_cell_length_c 18.3900
_cell_angle_alpha 90.00
_cell_angle_beta 90.00
_cell_angle_gamma 120.00
_symmetry_space_group_name_H-M 'R -3'
_symmetry_Int_Tables_number 148
_symmetry_space_group_name_Hall '-R 3'
loop_
_atom_site_label
_atom_site_type_symbol
_atom_site_fract_x
_atom_site_fract_y
_atom_site_fract_z
La1 La 0.0000 0.0000 0.0856
La2 La 0.0572 0.8199 0.6685
Ce1 Ce 0.0000 0.0000 0.5000
Nd1 Nd 0.0444 0.7577 0.1747
# Spin magnetization = 0.42 μB/f.u.
# DFT formation energy = 0.130 eV per atom
# E_tot = -4.801 eV/atom

# Cs5ErTe4, optimized geometry, DFT PBE
data_Cs5ErTe4
_chemical_formula_sum 'Cs10 Er2 Te8'
_cell_length_a 22.880
_cell_length_b 5.099
_cell_length_c 9.654
_cell_angle_alpha 90.00
_cell_angle_beta 114.90
_cell_angle_gamma 90.00
_symmetry_space_group_name_H-M 'C 1 2/m 1'
_symmetry_Int_Tables_number 12
loop_
_symmetry_equiv_pos_as_xyz
'x,y,z'
'-x,-y,-z'
'-x,y,-z'
'x,-y,z'
'x+1/2,y+1/2,z'
'-x+1/2,-y+1/2,-z'
'-x+1/2,y+1/2,-z'
'x+1/2,-y+1/2,z'
loop_
_atom_site_label
_atom_site_type_symbol
_atom_site_fract_x
_atom_site_fract_y
_atom_site_fract_z
Cs1 Cs 0.000 0.000 0.000
Cs2 Cs 0.171 0.500 0.407
Cs3 Cs 0.171 0.500 0.931
Er1 Er 0.000 0.000 0.500
Te1 Te 0.000 0.500 0.292
Te2 Te 0.155 0.000 0.653
# Spin magnetization = 0.00 μB/f.u.
# E_form (uncorrected) = -1.00 eV per atom
# E_tot = -3.142 eV/atom